# SrB6C2, relaxed, DFT PBE
# DFT formation energy, eV per atom: 0.223
data_SrB6C2
_chemical_formula_sum 'Sr2 B12 C4'
_symmetry_space_group_name_H-M 'C 1 2/m 1'
_symmetry_Int_Tables_number 12
_symmetry_space_group_name_Hall '-C 2y'
_cell_length_a 5.826
_cell_length_b 6.844
_cell_length_c 5.487
_cell_angle_alpha 90.00
_cell_angle_beta 120.91
_cell_angle_gamma 90.00
loop_
_atom_site_label
_atom_site_fract_x
_atom_site_fract_y
_atom_site_fract_z
_atom_site_occupancy
Sr1 0.000 0.000 0.000 1
B1 0.000 0.250 0.500 1
B2 0.212 0.368 0.420 1
C1 0.074 0.500 0.144 1

# NbHgS2Cl, relaxed, DFT PBE
# Formation energy without anion corrections, meV/atom: 872
data_NbHgS2Cl
_chemical_formula_sum 'Nb1 Hg1 S2 Cl1'
_symmetry_space_group_name_H-M 'P 4/m m m'
_symmetry_Int_Tables_number 123
_symmetry_space_group_name_Hall '-P 4 2'
_cell_length_a 4.969
_cell_length_b 4.969
_cell_length_c 5.077
_cell_angle_alpha 90.00
_cell_angle_beta 90.00
_cell_angle_gamma 90.00
loop_
_atom_site_label
_atom_site_fract_x
_atom_site_fract_y
_atom_site_fract_z
_atom_site_occupancy
Nb1 0.000 0.000 0.000 1
Hg1 0.500 0.500 0.500 1
S1 0.000 0.500 0.500 1
Cl1 0.500 0.500 0.000 1

# Na2ZnBiF8, relaxed, DFT PBE
# Formation energy without anion corrections, meV/atom: -2363
data_Na2ZnBiF8
_chemical_formula_sum 'Na2 Zn1 Bi1 F8'
_symmetry_space_group_name_H-M 'P 1 2/m 1'
_symmetry_Int_Tables_number 10
_symmetry_space_group_name_Hall '-P 2y'
_cell_length_a 5.038
_cell_length_b 6.980
_cell_length_c 5.224
_cell_angle_alpha 90.00
_cell_angle_beta 93.66
_cell_angle_gamma 90.00
loop_
_atom_site_label
_atom_site_fract_x
_atom_site_fract_y
_atom_site_fract_z
_atom_site_occupancy
Na1 0.000 0.229 0.000 1
Zn1 0.500 0.000 0.500 1
Bi1 0.500 0.500 0.500 1
F1 0.194 0.500 0.193 1
F2 0.231 0.000 0.231 1
F3 0.310 0.257 0.680 1

# CoRh, relaxed, DFT PBE
# DFT formation energy, eV per atom: 0.405
data_CoRh
_chemical_formula_sum 'Co8 Rh8'
_symmetry_space_group_name_H-M 'I 4/m'
_symmetry_Int_Tables_number 87
_symmetry_space_group_name_Hall '-I 4'
_cell_length_a 9.146
_cell_length_b 9.146
_cell_length_c 2.611
_cell_angle_alpha 90.00
_cell_angle_beta 90.00
_cell_angle_gamma 90.00
loop_
_atom_site_label
_atom_site_fract_x
_atom_site_fract_y
_atom_site_fract_z
_atom_site_occupancy
Co1 0.086 0.844 0.000 1
Rh1 0.113 0.354 0.000 1

# CaCrIn, relaxed, DFT PBE
# DFT formation energy, eV per atom: 0.177
data_CaCrIn
_chemical_formula_sum 'Ca2 Cr2 In2'
_symmetry_space_group_name_H-M 'I 4 m m'
_symmetry_Int_Tables_number 107
_symmetry_space_group_name_Hall 'I 4 -2'
_cell_length_a 3.751
_cell_length_b 3.751
_cell_length_c 10.596
_cell_angle_alpha 90.00
_cell_angle_beta 90.00
_cell_angle_gamma 90.00
loop_
_atom_site_label
_atom_site_fract_x
_atom_site_fract_y
_atom_site_fract_z
_atom_site_occupancy
Ca1 0.000 0.000 0.000 1
Cr1 0.000 0.000 0.693 1
In1 0.000 0.000 0.311 1

# BaZrSe2, relaxed, DFT PBE
# Formation energy without anion corrections, meV/atom: -1457
data_BaZrSe2
_chemical_formula_sum 'Ba3 Zr3 Se6'
_symmetry_space_group_name_H-M 'R -3 m'
_symmetry_Int_Tables_number 166
_symmetry_space_group_name_Hall '-R 3 2"'
_cell_length_a 4.1432
_cell_length_b 4.1432
_cell_length_c 21.7019
_cell_angle_alpha 90.00
_cell_angle_beta 90.00
_cell_angle_gamma 120.00
loop_
_atom_site_label
_atom_site_fract_x
_atom_site_fract_y
_atom_site_fract_z
_atom_site_occupancy
Ba1 0.0000 0.0000 0.0000 1
Zr1 0.0000 0.0000 0.5000 1
Se1 0.0000 0.0000 0.2343 1

# YTl2Se, relaxed, DFT PBE
# Formation energy without anion corrections, meV/atom: -466
data_YTl2Se
_chemical_formula_sum 'Y2 Tl4 Se2'
_symmetry_space_group_name_H-M 'I -4 m 2'
_symmetry_Int_Tables_number 119
_symmetry_space_group_name_Hall 'I -4 -2'
_cell_length_a 4.699
_cell_length_b 4.699
_cell_length_c 9.454
_cell_angle_alpha 90.00
_cell_angle_beta 90.00
_cell_angle_gamma 90.00
loop_
_atom_site_label
_atom_site_fract_x
_atom_site_fract_y
_atom_site_fract_z
_atom_site_occupancy
Y1 0.000 0.000 0.000 1
Tl1 0.000 0.000 0.500 1
Tl2 0.000 0.500 0.250 1
Se1 0.000 0.500 0.750 1

# Ca2Tb2Pr7, relaxed, DFT PBE
# DFT formation energy, eV per atom: 0.143
data_Ca2Tb2Pr7
_chemical_formula_sum 'Ca4 Tb4 Pr14'
_symmetry_space_group_name_H-M 'C 1 2/m 1'
_symmetry_Int_Tables_number 12
_symmetry_space_group_name_Hall '-C 2y'
_cell_length_a 18.309
_cell_length_b 11.906
_cell_length_c 3.732
_cell_angle_alpha 90.00
_cell_angle_beta 90.01
_cell_angle_gamma 90.00
loop_
_atom_site_label
_atom_site_fract_x
_atom_site_fract_y
_atom_site_fract_z
_atom_site_occupancy
Ca1 0.234 0.000 0.499 1
Tb1 0.000 0.279 0.500 1
Pr1 0.000 0.000 0.000 1
Pr2 0.093 0.500 0.001 1
Pr3 0.160 0.237 0.999 1

# LiP2RhS, relaxed, DFT PBE
# Formation energy without anion corrections, meV/atom: 222
data_LiP2RhS
_chemical_formula_sum 'Li1 P2 Rh1 S1'
_symmetry_space_group_name_H-M 'P 4/m m m'
_symmetry_Int_Tables_number 123
_symmetry_space_group_name_Hall '-P 4 2'
_cell_length_a 4.449
_cell_length_b 4.449
_cell_length_c 5.337
_cell_angle_alpha 90.00
_cell_angle_beta 90.00
_cell_angle_gamma 90.00
loop_
_atom_site_label
_atom_site_fract_x
_atom_site_fract_y
_atom_site_fract_z
_atom_site_occupancy
Li1 0.000 0.000 0.000 1
P1 0.000 0.500 0.500 1
Rh1 0.500 0.500 0.500 1
S1 0.500 0.500 0.000 1

# Ta2CuBr, relaxed, DFT PBE
# Formation energy without anion corrections, meV/atom: 268
data_Ta2CuBr
_chemical_formula_sum 'Ta4 Cu2 Br2'
_symmetry_space_group_name_H-M 'C m m 2'
_symmetry_Int_Tables_number 35
_symmetry_space_group_name_Hall 'C 2 -2'
_cell_length_a 3.514
_cell_length_b 4.959
_cell_length_c 8.632
_cell_angle_alpha 90.00
_cell_angle_beta 90.00
_cell_angle_gamma 90.00
loop_
_atom_site_label
_atom_site_fract_x
_atom_site_fract_y
_atom_site_fract_z
_atom_site_occupancy
Ta1 0.000 0.000 0.000 1
Ta2 0.000 0.500 0.245 1
Cu1 0.000 0.000 0.468 1
Br1 0.000 0.500 0.752 1

Q: Number 4 is which compound?
A: CoRh